A geometry-optimized VO2 structure. Source: the Alexandria database, functional GGA+U.

Structure (POSCAR):
```
VO2
1.0
-3.046 3.046 3.980
3.046 -3.046 3.980
3.046 3.046 -3.980
V O
4 8
Direct
0.000 0.000 0.000 V
0.000 0.000 0.500 V
0.000 0.500 0.000 V
0.500 0.000 0.500 V
0.203 0.237 0.966 O
0.230 0.763 0.466 O
0.237 0.203 0.466 O
0.237 0.770 0.034 O
0.763 0.230 0.966 O
0.763 0.797 0.534 O
0.770 0.237 0.534 O
0.797 0.763 0.034 O
```

Calculated values
- energy (hartree per atom) = -0.280
- total moment (μB per cell) = 4.00